Density functional theory data (GGA-PBE) for a relaxed RbSrTa crystal.

## Properties
ΔH_f (0 K) (eV per atom): 0.705
Energy above the most stable polymorph in this dataset (meV per atom): 246
D(E_F) (states/eV/f.u.): 2.20
Calculated total energy (eV per atom): -4.129

Cell: 5.0232 4.2353 13.8186 Å, 90.00 100.38 90.00°
Space group P2_1/m (No. 11)
Symmetry-distinct sites (fractional):
Rb 0.1768 0.2500 0.3562 (multiplicity 2)
Sr 0.4395 0.2500 0.8776 (multiplicity 2)
Ta 0.0268 0.2500 0.0543 (multiplicity 2)

***

Density functional theory data (GGA-PBE) for a relaxed K5Au crystal.

## Properties
ΔH_f (0 K) (eV per atom): -0.105
Energy above the most stable polymorph in this dataset (meV per atom): 0
D(E_F) (states/eV/f.u.): 3.62
Calculated total energy (eV per atom): -1.566

Cell: 12.3882 5.1098 10.3890 Å, 90.00 90.00 90.00°
Space group Pmma (No. 51)
Symmetry-distinct sites (fractional):
K 0.0000 0.0000 0.0000 (multiplicity 2)
K 0.0808 0.5000 0.3085 (multiplicity 4)
K 0.2500 0.0000 0.5840 (multiplicity 2)
K 0.2500 0.5000 0.9526 (multiplicity 2)
Au 0.2500 0.0000 0.1866 (multiplicity 2)

***

Density functional theory data (GGA-PBE) for a relaxed Dy5NiSb2 crystal.

## Properties
Uncorrected formation energy (eV/atom): -0.73
D(E_F) (states/eV/f.u.): 6.08
Calculated total energy (eV per atom): -5.355

Cell: 7.9318 12.0931 4.4520 Å, 90.00 90.00 90.00°
Space group Pbam (No. 55)
Symmetry-distinct sites (fractional):
Dy 0.0000 0.0000 0.0000 (multiplicity 2)
Dy 0.1408 0.3005 0.0000 (multiplicity 4)
Dy 0.1824 0.5629 0.5000 (multiplicity 4)
Ni 0.0000 0.5000 0.0000 (multiplicity 2)
Sb 0.0721 0.8269 0.5000 (multiplicity 4)

***

Density functional theory data (GGA-PBE) for a relaxed Nb7Ge5As crystal.

## Properties
ΔH_f (0 K) (eV per atom): -0.070
D(E_F) (states/eV/f.u.): 9.61
Calculated total energy (eV per atom): -7.626

Cell: 5.2374 9.5748 9.2591 Å, 90.00 90.00 90.00°
Space group Imm2 (No. 44)
Symmetry-distinct sites (fractional):
Nb 0.0000 0.0000 0.0000 (multiplicity 2)
Nb 0.0000 0.0000 0.2793 (multiplicity 2)
Nb 0.0000 0.3117 0.1085 (multiplicity 4)
Nb 0.0000 0.3382 0.6051 (multiplicity 4)
Nb 0.0000 0.5000 0.3411 (multiplicity 2)
Ge 0.0000 0.5000 0.8693 (multiplicity 2)
Ge 0.2477 0.2431 0.8576 (multiplicity 8)
As 0.0000 0.0000 0.6668 (multiplicity 2)

***

Density functional theory data (GGA-PBE) for a relaxed LiMgUO4 crystal.

## Properties
Uncorrected formation energy (eV/atom): -2.79
D(E_F) (states/eV/f.u.): 2.87
Calculated total energy (eV per atom): -7.738

Cell: 6.2843 7.0236 8.1946 Å, 90.00 90.00 90.00°
Space group Imma (No. 74)
Symmetry-distinct sites (fractional):
Li 0.2500 0.2500 0.2500 (multiplicity 4)
Mg 0.0000 0.2500 0.6217 (multiplicity 4)
U 0.0000 0.0000 0.0000 (multiplicity 4)
O 0.0000 0.0023 0.7535 (multiplicity 8)
O 0.2253 0.2500 0.0046 (multiplicity 8)

***

Density functional theory data (GGA-PBE) for a relaxed TbNi6Ge4 crystal.

## Properties
ΔH_f (0 K) (eV per atom): -0.494
D(E_F) (states/eV/f.u.): 5.26
Calculated total energy (eV per atom): -5.747

Cell: 6.8230 6.8230 3.7843 Å, 90.00 90.00 120.00°
Space group P-6m2 (No. 187)
Symmetry-distinct sites (fractional):
Tb 0.0000 0.0000 0.0000 (multiplicity 1)
Ni 0.2055 0.4111 0.5000 (multiplicity 3)
Ni 0.5370 0.0739 0.0000 (multiplicity 3)
Ge 0.3333 0.6667 0.0000 (multiplicity 1)
Ge 0.3842 0.1921 0.5000 (multiplicity 3)

***

Density functional theory data (GGA-PBE) for a relaxed AcNiH6Pt2 crystal.

## Properties
D(E_F) (states/eV/f.u.): 3.14
Calculated total energy (eV per atom): -4.572

Cell: 8.2569 4.7770 5.9187 Å, 90.00 117.86 90.00°
Space group C2/m (No. 12)
Symmetry-distinct sites (fractional):
Ac 0.0000 0.0000 0.0000 (multiplicity 2)
Ni 0.0000 0.5000 0.5000 (multiplicity 2)
H 0.0599 0.5000 0.2537 (multiplicity 4)
H 0.1530 0.2860 0.7452 (multiplicity 8)
Pt 0.2091 0.0000 0.6267 (multiplicity 4)

***

Density functional theory data (GGA-PBE) for a relaxed Mg4Cd7Cu crystal.

## Properties
ΔH_f (0 K) (eV per atom): 0.042
D(E_F) (states/eV/f.u.): 4.10
Calculated total energy (eV per atom): -1.364

Cell: 10.7379 5.2556 10.9525 Å, 90.00 118.58 90.00°
Space group C2/m (No. 12)
Symmetry-distinct sites (fractional):
Mg 0.0399 0.0000 0.3723 (multiplicity 4)
Mg 0.0993 0.5000 0.7848 (multiplicity 4)
Cd 0.0000 0.0000 0.0000 (multiplicity 2)
Cd 0.1515 0.5000 0.5403 (multiplicity 4)
Cd 0.2083 0.5000 0.2999 (multiplicity 4)
Cd 0.2170 0.0000 0.9163 (multiplicity 4)
Cu 0.0000 0.5000 0.0000 (multiplicity 2)

***

Density functional theory data (GGA-PBE) for a relaxed MgBi3Rh crystal.

## Properties
ΔH_f (0 K) (eV per atom): 0.265
Energy above the most stable polymorph in this dataset (meV per atom): 375
D(E_F) (states/eV/f.u.): 4.82
Calculated total energy (eV per atom): -3.853

Cell: 5.3666 5.3666 5.3666 Å, 90.00 90.00 90.00°
Space group Pm-3m (No. 221)
Symmetry-distinct sites (fractional):
Mg 0.0000 0.0000 0.0000 (multiplicity 1)
Bi 0.0000 0.5000 0.5000 (multiplicity 3)
Rh 0.5000 0.5000 0.5000 (multiplicity 1)

***

Density functional theory data (GGA-PBE) for a relaxed TiNb3Os crystal.

## Properties
ΔH_f (0 K) (eV per atom): 1.477
Energy above the most stable polymorph in this dataset (meV per atom): 1353
D(E_F) (states/eV/f.u.): 8.14
Calculated total energy (eV per atom): -8.390

Cell: 4.5809 4.5809 4.5809 Å, 90.00 90.00 90.00°
Space group Pm-3m (No. 221)
Symmetry-distinct sites (fractional):
Ti 0.0000 0.0000 0.0000 (multiplicity 1)
Nb 0.0000 0.0000 0.5000 (multiplicity 3)
Os 0.5000 0.5000 0.5000 (multiplicity 1)

***

Density functional theory data (GGA-PBE) for a relaxed Sm7Y2Tm3 crystal.

## Properties
ΔH_f (0 K) (eV per atom): 0.091
Energy above the most stable polymorph in this dataset (meV per atom): 20
D(E_F) (states/eV/f.u.): 16.01
Calculated total energy (eV per atom): -4.857

Cell: 5.8131 3.6024 18.8888 Å, 90.00 93.93 90.00°
Space group P2/m (No. 10)
Symmetry-distinct sites (fractional):
Sm 0.0000 0.0000 0.0000 (multiplicity 1)
Sm 0.1749 0.5000 0.1822 (multiplicity 2)
Sm 0.2585 0.5000 0.5349 (multiplicity 2)
Sm 0.3282 0.0000 0.8563 (multiplicity 2)
Y 0.2970 0.5000 0.7026 (multiplicity 2)
Tm 0.2163 0.0000 0.3688 (multiplicity 2)
Tm 0.5000 0.5000 0.0000 (multiplicity 1)

***

Density functional theory data (GGA-PBE) for a relaxed CdGaIrPd crystal.

## Properties
ΔH_f (0 K) (eV per atom): -0.211
D(E_F) (states/eV/f.u.): 3.01
Calculated total energy (eV per atom): -4.710

Cell: 6.3455 6.3455 6.3455 Å, 90.00 90.00 90.00°
Space group F-43m (No. 216)
Symmetry-distinct sites (fractional):
Cd 0.0000 0.0000 0.0000 (multiplicity 4)
Ga 0.0000 0.0000 0.5000 (multiplicity 4)
Ir 0.2500 0.2500 0.2500 (multiplicity 4)
Pd 0.2500 0.2500 0.7500 (multiplicity 4)

***

Density functional theory data (GGA-PBE) for a relaxed TiCr2Ni9 crystal.

## Properties
ΔH_f (0 K) (eV per atom): -0.156
D(E_F) (states/eV/f.u.): 12.57
Calculated total energy (eV per atom): -6.754

Cell: 3.5729 3.5729 10.7254 Å, 90.00 90.00 90.00°
Space group P4/mmm (No. 123)
Symmetry-distinct sites (fractional):
Ti 0.0000 0.0000 0.0000 (multiplicity 1)
Cr 0.0000 0.0000 0.3369 (multiplicity 2)
Ni 0.0000 0.5000 0.1694 (multiplicity 4)
Ni 0.0000 0.5000 0.5000 (multiplicity 2)
Ni 0.5000 0.5000 0.0000 (multiplicity 1)
Ni 0.5000 0.5000 0.3341 (multiplicity 2)

***

Density functional theory data (GGA-PBE) for a relaxed BaSrSb2 crystal.

## Properties
Uncorrected formation energy (eV/atom): -0.68
Energy above the most stable polymorph in this dataset (meV per atom): 216
D(E_F) (states/eV/f.u.): 0.51
Calculated total energy (eV per atom): -3.644

Cell: 9.1623 9.1623 7.2277 Å, 90.00 90.00 90.00°
Space group I-42d (No. 122)
Symmetry-distinct sites (fractional):
Ba 0.0000 0.0000 0.0000 (multiplicity 4)
Sr 0.0000 0.0000 0.5000 (multiplicity 4)
Sb 0.2361 0.2500 0.6250 (multiplicity 8)

***

Density functional theory data (GGA-PBE) for a relaxed Pm4Te2PRh crystal.

## Properties
Uncorrected formation energy (eV/atom): -1.26
D(E_F) (states/eV/f.u.): 6.08
Calculated total energy (eV per atom): -6.019

Cell: 7.4305 4.2214 7.6549 Å, 90.00 108.29 90.00°
Space group P2/m (No. 10)
Symmetry-distinct sites (fractional):
Pm 0.2359 0.0000 0.2113 (multiplicity 2)
Pm 0.2597 0.5000 0.7875 (multiplicity 2)
Te 0.0000 0.0000 0.5000 (multiplicity 1)
Te 0.5000 0.5000 0.5000 (multiplicity 1)
P 0.5000 0.0000 0.0000 (multiplicity 1)
Rh 0.0000 0.5000 0.0000 (multiplicity 1)

***

Density functional theory data (GGA-PBE) for a relaxed NpGe2Pb crystal.

## Properties
ΔH_f (0 K) (eV per atom): 0.234
Energy above the most stable polymorph in this dataset (meV per atom): 263
D(E_F) (states/eV/f.u.): 11.72
Calculated total energy (eV per atom): -6.237

Cell: 4.8980 4.8980 13.7998 Å, 90.00 90.00 120.00°
Space group R-3m (No. 166, hexagonal axes)
Symmetry-distinct sites (fractional):
Np 0.0000 0.0000 0.0000 (multiplicity 3)
Ge 0.0000 0.0000 0.2538 (multiplicity 6)
Pb 0.0000 0.0000 0.5000 (multiplicity 3)

***

Density functional theory data (GGA-PBE) for a relaxed CrNi2Cl crystal.

## Properties
Uncorrected formation energy (eV/atom): 0.24
Energy above the most stable polymorph in this dataset (meV per atom): 49
D(E_F) (states/eV/f.u.): 4.27
Calculated total energy (eV per atom): -5.519

Cell: 7.7975 2.9109 6.0710 Å, 90.00 94.30 90.00°
Space group Cm (No. 8)
Symmetry-distinct sites (fractional):
Cr 0.0000 0.0000 0.0000 (multiplicity 2)
Ni 0.2283 0.5000 0.1772 (multiplicity 2)
Ni 0.4541 0.0000 0.3176 (multiplicity 2)
Cl 0.4852 0.0000 0.6941 (multiplicity 2)

***

Density functional theory data (GGA-PBE) for a relaxed Re2MoSe crystal.

## Properties
Uncorrected formation energy (eV/atom): 0.48
D(E_F) (states/eV/f.u.): 3.52
Calculated total energy (eV per atom): -9.321

Cell: 2.8944 4.1896 5.2729 Å, 90.00 103.35 90.00°
Space group P2/m (No. 10)
Symmetry-distinct sites (fractional):
Re 0.1338 0.0000 0.2529 (multiplicity 2)
Mo 0.5000 0.5000 0.0000 (multiplicity 1)
Se 0.5000 0.5000 0.5000 (multiplicity 1)

***

Density functional theory data (GGA-PBE) for a relaxed Dy2MgPd3 crystal.

## Properties
ΔH_f (0 K) (eV per atom): -0.833
Energy above the most stable polymorph in this dataset (meV per atom): 0
D(E_F) (states/eV/f.u.): 2.88
Calculated total energy (eV per atom): -5.230

Cell: 4.8597 4.8597 11.7634 Å, 90.00 90.00 120.00°
Space group P-3m1 (No. 164)
Symmetry-distinct sites (fractional):
Dy 0.0000 0.0000 0.0000 (multiplicity 1)
Dy 0.0000 0.0000 0.5000 (multiplicity 1)
Dy 0.3333 0.6667 0.1789 (multiplicity 2)
Mg 0.3333 0.6667 0.6650 (multiplicity 2)
Pd 0.0000 0.0000 0.2519 (multiplicity 2)
Pd 0.3333 0.6667 0.4242 (multiplicity 2)
Pd 0.3333 0.6667 0.9144 (multiplicity 2)

***

Density functional theory data (GGA-PBE) for a relaxed MgSn5 crystal.

## Properties
ΔH_f (0 K) (eV per atom): 0.027
D(E_F) (states/eV/f.u.): 3.19
Calculated total energy (eV per atom): -3.574

Cell: 3.3544 3.3544 16.3297 Å, 90.00 90.00 120.00°
Space group P-6m2 (No. 187)
Symmetry-distinct sites (fractional):
Mg 0.0000 0.0000 0.0000 (multiplicity 1)
Sn 0.0000 0.0000 0.3282 (multiplicity 2)
Sn 0.6667 0.3333 0.1541 (multiplicity 2)
Sn 0.6667 0.3333 0.5000 (multiplicity 1)

***

Density functional theory data (GGA-PBE) for a relaxed Sm2TmPu crystal.

## Properties
ΔH_f (0 K) (eV per atom): 0.260
Energy above the most stable polymorph in this dataset (meV per atom): 152
D(E_F) (states/eV/f.u.): 12.20
Calculated total energy (eV per atom): -6.801

Cell: 3.4665 3.4665 36.9040 Å, 90.00 90.00 120.00°
Space group R-3m (No. 166, hexagonal axes)
Symmetry-distinct sites (fractional):
Sm 0.0000 0.0000 0.0889 (multiplicity 6)
Tm 0.0000 0.0000 0.5000 (multiplicity 3)
Pu 0.0000 0.0000 0.0000 (multiplicity 3)

***

Density functional theory data (GGA-PBE) for a relaxed K3PmPu2O9 crystal.

## Properties
Uncorrected formation energy (eV/atom): -2.53
D(E_F) (states/eV/f.u.): 8.53
Calculated total energy (eV per atom): -7.956

Cell: 6.1168 6.1168 7.5110 Å, 90.00 90.00 120.00°
Space group P-3m1 (No. 164)
Symmetry-distinct sites (fractional):
K 0.0000 0.0000 0.0000 (multiplicity 1)
K 0.3333 0.6667 0.6636 (multiplicity 2)
Pm 0.0000 0.0000 0.5000 (multiplicity 1)
Pu 0.3333 0.6667 0.1610 (multiplicity 2)
O 0.0000 0.5000 0.0000 (multiplicity 3)
O 0.1774 0.3548 0.3167 (multiplicity 6)

***

Density functional theory data (GGA-PBE) for a relaxed SmHgBr3 crystal.

## Properties
Uncorrected formation energy (eV/atom): -1.39
Energy above the most stable polymorph in this dataset (meV per atom): 91
D(E_F) (states/eV/f.u.): 0.00
Calculated total energy (eV per atom): -3.397

Cell: 5.7372 5.7372 5.7372 Å, 90.00 90.00 90.00°
Space group Pm-3m (No. 221)
Symmetry-distinct sites (fractional):
Sm 0.0000 0.0000 0.0000 (multiplicity 1)
Hg 0.5000 0.5000 0.5000 (multiplicity 1)
Br 0.0000 0.0000 0.5000 (multiplicity 3)

***

Density functional theory data (GGA-PBE) for a relaxed KLi2Ga crystal.

## Properties
ΔH_f (0 K) (eV per atom): 0.166
D(E_F) (states/eV/f.u.): 2.95
Calculated total energy (eV per atom): -1.822

Cell: 3.6202 3.6202 31.6408 Å, 90.00 90.00 120.00°
Space group R-3m (No. 166, hexagonal axes)
Symmetry-distinct sites (fractional):
K 0.0000 0.0000 0.0000 (multiplicity 3)
Li 0.0000 0.0000 0.1103 (multiplicity 6)
Ga 0.0000 0.0000 0.5000 (multiplicity 3)